(1)
IrPbSe2 | PBE | relaxed

It has space group Fmmm (No. 69), with a = 5.519 Å, b = 7.968 Å, c = 7.990 Å, α = 90.00°, β = 90.00° and γ = 90.00°. The inequivalent atoms are Ir at (0.000, 0.000, 0.000), Pb at (0.000, 0.000, 0.500) and Se at (0.000, 0.250, 0.250).

The value obtained for the size of the total moment is 0.0 μB per formula unit. For the calculated total energy, the calculation gives -18.199 eV/f.u. The energy relative to the elements, uncorrected is 0.335 eV/atom. The crystal system is orthorhombic. The density of states at the Fermi level comes out at 0.915 states/eV per atom.

---

(2)
Ir2PbSe | PBE | relaxed

It has space group Imm2 (No. 44), with a = 3.011 Å, b = 5.020 Å, c = 9.940 Å, α = 90.00°, β = 90.00° and γ = 90.00°. The inequivalent atoms are Ir at (0.000, 0.000, 0.000), Ir at (0.000, 0.500, 0.268), Pb at (0.000, 0.500, 0.767) and Se at (0.000, 0.000, 0.561).

The value obtained for the size of the total moment is 0.0 μB per formula unit. For the calculated total energy, the calculation gives -22.778 eV/f.u. The relative energy among the computed polymorphs comes out at 455 meV per atom. The energy relative to the elements, uncorrected is 0.534 eV/atom. The crystal system is orthorhombic. The density of states at the Fermi level comes out at 0.811 states/eV per atom.